Entry from the Alexandria database: SrHg4Pb4 after structural relaxation (PBE-GGA).

Raw total energy = -2.03 eV/atom
Energy of formation = -62 meV/atom
DOS(E_F) = 0.5774 states/eV per atom
Total magnetization = 0.00 μB per cell

a b c (Å): 7.3770 7.3770 10.6945
angles (deg): 90.00 90.00 90.00
Last column: nearest neighbours and their distance in Å.
Space group P4_2/nmc (No. 137, origin choice 2)
Unique sites:
1 Sr 0.2500 0.7500 0.2500  4 Hg 3.52
2 Hg 0.0104 0.2500 0.0256  5 Pb 3.20-3.24, 1 Sr 3.52, 1 Hg 3.54
3 Pb 0.0291 0.2500 0.3287  5 Hg 3.20-3.24, 3 Pb 3.26-3.36

---

Entry from the Alexandria database: SrHg6Pb2 after structural relaxation (PBE-GGA).

Raw total energy = -1.37 eV/atom
Energy of formation = -154 meV/atom
DOS(E_F) = 0.4906 states/eV per atom
Total magnetization = 0.00 μB per cell
Distance to the lowest polymorph of the same formula = 0 meV per atom

a b c (Å): 8.8653 8.8653 3.6944
angles (deg): 90.00 90.00 120.00
Last column: nearest neighbours and their distance in Å.
Space group P6/mmm (No. 191)
Unique sites:
1 Sr 0.0000 0.0000 0.0000  12 Hg 3.49, 2 Sr 3.69
2 Hg 0.0000 0.3344 0.5000  3 Hg 2.94-2.96
3 Pb 0.3333 0.6667 0.0000  12 Hg 3.48, 2 Pb 3.69